Sm8HgAu2, optimized geometry, DFT PBE; size of the total moment = 0.00 μB per formula unit; E above lowest polymorph = 104 meV/atom; density = 9332 kg/m3; space-group type = Immm; ΔH_f (0 K) = -0.261 eV/atom
1.0
-2.523 4.173 7.594
2.523 -4.173 7.594
2.523 4.173 -7.594
Sm Hg Au
8 1 2
Cartesian
2.523 2.337 -2.525
0.000 0.000 2.012
0.000 2.654 0.000
2.523 2.337 2.525
0.000 1.836 5.069
0.000 5.693 0.000
0.000 0.000 13.177
0.000 1.836 10.119
2.523 0.000 0.000
2.523 0.000 4.584
0.000 4.173 3.010

Sm4HgAu3, optimized geometry, DFT PBE; size of the total moment = 0.00 μB per formula unit; E above lowest polymorph = 0 meV/atom; density = 11044 kg/m3; space-group type = Pmm2; ΔH_f (0 K) = -0.723 eV/atom
1.0
3.844 0.000 0.000
0.000 4.813 0.000
0.000 0.000 11.320
Sm Hg Au
4 1 3
Cartesian
0.000 0.000 0.000
0.000 2.406 3.036
1.922 0.000 5.512
1.922 2.406 8.750
0.000 0.000 8.127
0.000 2.406 6.144
1.922 0.000 2.468
1.922 2.406 0.522

Look up the E above lowest polymorph of the first one.
104 meV/atom